DyYTm | PBE-GGA | relaxed

Distance to the lowest polymorph of the same formula = 0.0 meV per atom
ΔH_f (0 K) = 0.72 eV/atom

```
DyYTm
1.0
-1.2448 -1.1315 5.1181
-3.3300 3.2296 2.7396
-4.9601 -1.6865 1.2563
Dy Tm Y
1 1 1
direct
0.2500 0.2500 0.2500
0.0000 0.0000 0.0000
0.7500 0.7500 0.7500
```

=====

Lu7Te2Os2 | PBE-GGA | relaxed

Raw total energy = -67.89 eV for the cell shown

```
Lu7Te2Os2
1.0
-5.3229 -2.7253 6.9225
6.9491 5.7442 1.5481
-8.5065 -2.2634 -2.4897
Lu Os Te
7 2 2
direct
0.0033 0.0033 0.0000
0.7188 0.5831 0.1358
0.6813 0.3679 0.3133
0.0877 0.7368 0.3508
0.3860 0.7368 0.6492
0.0546 0.3679 0.6867
0.4473 0.5831 0.8642
0.3024 0.0674 0.2351
0.8323 0.0674 0.7649
0.3392 0.3392 0.0000
0.7353 0.2353 0.5000
```